Entry 1:
ReHgSe2N: optimized geometry, PBE.

Cell: 5.122 5.122 3.759 Å, 90.00 90.00 90.00°
Space group P4/mmm (No. 123)
One atom of each set of equivalent atoms:
Re  0.000  0.000  0.000
Hg  0.500  0.500  0.500
Se  0.000  0.500  0.000
N  0.000  0.000  0.500

Properties
* total magnetization: 0.0 μB/cell
* relative energy among the computed polymorphs: 0 meV per atom
* raw total energy: -5.32 eV/atom
* energy relative to the elements, uncorrected: 0.292 eV/atom

---

Entry 2:
CaMo4Pb: optimized geometry, PBE.

Cell: 7.735 7.735 7.735 Å, 90.00 90.00 90.00°
Space group F-43m (No. 216)
One atom of each set of equivalent atoms:
Ca  0.000  0.000  0.000
Mo  0.125  0.125  0.625
Pb  0.250  0.250  0.250

Properties
* total magnetization: 0.0 μB/cell
* formation energy from the elements: 480 meV per atom
* raw total energy: -7.69 eV/atom

---

Entry 3:
SiRuCl2: optimized geometry, PBE.

Cell: 3.109 5.732 9.088 Å, 90.00 90.00 90.00°
Space group Cmm2 (No. 35)
One atom of each set of equivalent atoms:
Si  0.000  0.000  0.000
Ru  0.000  0.500  0.814
Cl  0.000  0.000  0.602
Cl  0.000  0.500  0.203

Properties
* total magnetization: 0.0 μB/cell
* relative energy among the computed polymorphs: 348 meV per atom
* raw total energy: -4.55 eV/atom
* energy relative to the elements, uncorrected: 0.049 eV/atom

---

Entry 4:
LaSbCl2: optimized geometry, PBE.

Cell: 7.398 7.398 7.398 Å, 90.00 90.00 90.00°
Space group Fm-3m (No. 225)
One atom of each set of equivalent atoms:
La  0.000  0.000  0.000
Sb  0.000  0.000  0.500
Cl  0.250  0.250  0.250

Properties
* total magnetization: 0.0 μB/cell
* relative energy among the computed polymorphs: 442 meV per atom
* raw total energy: -4.18 eV/atom
* energy relative to the elements, uncorrected: -0.992 eV/atom

---

Entry 5:
Dy5Si2As: optimized geometry, PBE.

Cell: 7.561 7.561 13.442 Å, 90.00 90.00 90.00°
Space group I4/mcm (No. 140)
One atom of each set of equivalent atoms:
Dy  0.000  0.000  0.000
Dy  0.166  0.334  0.145
Si  0.130  0.370  0.500
As  0.000  0.000  0.250

Properties
* total magnetization: 6.4 μB/cell
* raw total energy: -5.57 eV/atom
* energy relative to the elements, uncorrected: -0.761 eV/atom